(1)
12
Lattice="4.1434 -5.6537 0.0000 4.1434 5.6537 0.0000 -1.5713 0.0000 8.1585" Properties=species:S:1:pos:R:3 comment="Pr5TmSn6 (PBE, optimized geometry)" spacegroup="C2/m (12)" formation_enthalpy_0k_mev_per_atom=-582 crystal_system=monoclinic m_tot_mub_per_fu=0.000 pbc="T T T"
Pr 0.0000 0.0000 0.0000
Pr 3.3578 3.7238 4.0793
Pr 4.1434 1.9280 0.0000
Pr 4.1434 -1.9280 0.0000
Pr 3.3578 -3.7238 4.0793
Tm 3.3578 0.0000 4.0793
Sn 1.7099 1.7531 2.0754
Sn 0.9467 0.0000 6.0814
Sn 1.7099 -1.7531 2.0754
Sn 5.0056 1.7531 6.0832
Sn 5.7688 0.0000 2.0771
Sn 5.0056 -1.7531 6.0832

=====

(2)
6
Lattice="4.3060 0.0000 0.0000 -2.1530 3.7291 0.0000 0.0000 0.0000 5.4129" Properties=species:S:1:pos:R:3 comment="Os2Ru (PBE, optimized geometry)" spacegroup="P6_3/mmc (194)" formation_enthalpy_0k_mev_per_atom=323 crystal_system=hexagonal m_tot_mub_per_fu=0.000 pbc="T T T"
Os 0.0000 0.0000 0.0000
Os 0.0000 0.0000 2.7064
Os 0.0000 2.4861 1.3532
Os 2.1530 1.2430 4.0597
Ru 0.0000 2.4861 4.0597
Ru 2.1530 1.2430 1.3532